(1)
# Tm3Be2Cu7

A geometry-optimized Tm3Be2Cu7 structure (PBE, Alexandria).

Computed properties:
Its energy of formation from the pure elements is -220 meV/atom. The value obtained for the size of the total moment is 0.0 Bohr magnetons per cell. Its space group is R-3m, No. 166.

Cell: 8.419 8.419 8.419 Å, 35.31 35.31 35.31°
Atoms (fractional coordinates):
Tm (0.000, 0.000, 0.000)
Tm (0.141, 0.141, 0.141)
Tm (0.859, 0.859, 0.859)
Be (0.332, 0.332, 0.332)
Be (0.668, 0.668, 0.668)
Cu (0.077, 0.576, 0.576)
Cu (0.424, 0.424, 0.923)
Cu (0.424, 0.923, 0.424)
Cu (0.500, 0.500, 0.500)
Cu (0.576, 0.077, 0.576)
Cu (0.576, 0.576, 0.077)
Cu (0.923, 0.424, 0.424)

(2)
# ZrCd4Pd15

A geometry-optimized ZrCd4Pd15 structure (PBE, Alexandria).

Computed properties:
Its energy of formation from the pure elements is -364 meV/atom. The value obtained for the size of the total moment is 0.0 Bohr magnetons per cell. Its space group is P4/mmm, No. 123.

Cell: 4.035 4.035 20.135 Å, 90.00 90.00 90.00°
Atoms (fractional coordinates):
Zr (0.000, 0.000, 0.000)
Cd (0.000, 0.000, 0.201)
Cd (0.000, 0.000, 0.400)
Cd (0.000, 0.000, 0.600)
Cd (0.000, 0.000, 0.799)
Pd (0.000, 0.500, 0.098)
Pd (0.000, 0.500, 0.301)
Pd (0.000, 0.500, 0.500)
Pd (0.000, 0.500, 0.699)
Pd (0.000, 0.500, 0.902)
Pd (0.500, 0.000, 0.098)
Pd (0.500, 0.000, 0.301)
Pd (0.500, 0.000, 0.500)
Pd (0.500, 0.000, 0.699)
Pd (0.500, 0.000, 0.902)
Pd (0.500, 0.500, 0.000)
Pd (0.500, 0.500, 0.199)
Pd (0.500, 0.500, 0.401)
Pd (0.500, 0.500, 0.599)
Pd (0.500, 0.500, 0.801)

(3)
# ReRuAu

A geometry-optimized ReRuAu structure (PBE, Alexandria).

Computed properties:
Its energy of formation from the pure elements is 221 meV/atom. The value obtained for the size of the total moment is 0.0 Bohr magnetons per cell. Its space group is I4mm, No. 107. The calculation puts the energy above the most stable polymorph in this dataset at 0.157 eV/f.u.

Cell: 6.235 6.235 6.235 Å, 153.78 153.78 37.41°
Atoms (fractional coordinates):
Re (0.000, 0.000, 0.000)
Ru (0.363, 0.363, 0.000)
Au (0.680, 0.680, 0.000)

(4)
# CaAg2As

A geometry-optimized CaAg2As structure (PBE, Alexandria).

Computed properties:
Its energy of formation from the pure elements is -321 meV/atom. The value obtained for the size of the total moment is 0.0 Bohr magnetons per cell. Its space group is P4/mmm, No. 123.

Cell: 4.214 4.214 4.720 Å, 90.00 90.00 90.00°
Atoms (fractional coordinates):
Ca (0.000, 0.000, 0.000)
Ag (0.000, 0.500, 0.500)
Ag (0.500, 0.000, 0.500)
As (0.500, 0.500, 0.000)

- Number 4 is which compound?
  CaAg2As

- Look up the energy of formation from the pure elements of the third one.
  221 meV/atom